Compound: Nd4YEr3Se8
Source: Alexandria
Functional: PBE
Structure: relaxed

Summary:
The total energy is -5.97 eV per atom.

abc: 8.1781 8.1781 20.8154
angles: 90.00 90.00 120.00
Space group R-3m (No. 166, hexagonal axes)
Inequivalent atoms, fractional coordinates:
Nd1 0.0000 0.0000 0.0000 (multiplicity 3)
Nd2 0.0000 0.5000 0.0000 (multiplicity 9)
Y1 0.0000 0.0000 0.5000 (multiplicity 3)
Er1 0.0000 0.5000 0.5000 (multiplicity 9)
Se1 0.0000 0.0000 0.2436 (multiplicity 6)
Se2 0.0023 0.5012 0.7558 (multiplicity 18)